1.
VASP calculation (PBE) on a relaxed Ga3IF crystal.

Lattice parameters (Å, degrees): 6.1176 6.1176 6.1176 90.00 90.00 90.00
Element x y z (fractional)
I (0.0000, 0.0000, 0.0000)
Ga (0.0000, 0.5000, 0.0000)
Ga (0.0000, 0.0000, 0.5000)
Ga (0.5000, 0.0000, 0.0000)
F (0.5000, 0.5000, 0.5000)

Results
Uncorrected formation energy in eV per atom: 0.192
Total magnetization in μB/atom: 0.000
E in eV/cell: -11.54

2.
VASP calculation (PBE) on a relaxed SnSeSN2 crystal.

Lattice parameters (Å, degrees): 3.8557 3.8557 4.9837 90.00 90.00 90.00
Element x y z (fractional)
S (0.0000, 0.0000, 0.0000)
Sn (0.5000, 0.5000, 0.5000)
Se (0.0000, 0.0000, 0.5000)
N (0.0000, 0.5000, 0.0000)
N (0.5000, 0.0000, 0.0000)

Results
Uncorrected formation energy in eV per atom: 1.423
Total magnetization in μB/atom: 0.108
E in eV/cell: -21.15

3.
VASP calculation (PBE) on a relaxed Ac3Tl3Ag8 crystal.

Lattice parameters (Å, degrees): 4.9170 9.2043 9.2043 65.42 74.51 74.51
Element x y z (fractional)
Ac (0.5000, 0.5000, 0.5000)
Ac (0.7975, 0.2025, 0.2025)
Ac (0.2025, 0.7975, 0.7975)
Tl (0.5000, 0.0000, 0.0000)
Tl (0.0000, 0.7910, 0.2090)
Tl (0.0000, 0.2090, 0.7910)
Ag (0.6435, 0.0800, 0.6330)
Ag (0.3565, 0.9200, 0.3670)
Ag (0.6435, 0.6330, 0.0800)
Ag (0.3565, 0.3670, 0.9200)
Ag (0.8321, 0.8071, 0.5288)
Ag (0.1679, 0.1929, 0.4712)
Ag (0.8321, 0.5288, 0.8071)
Ag (0.1679, 0.4712, 0.1929)

Results
Total magnetization in μB/atom: 0.000
Energy of formation in eV/f.u.: -2.78
E in eV/cell: -45.02

4.
VASP calculation (PBE) on a relaxed NaSr4S2 crystal.

Lattice parameters (Å, degrees): 5.9868 5.9868 9.1368 70.88 70.88 90.00
Element x y z (fractional)
Sr (0.7678, 0.7678, 0.4644)
Sr (0.2322, 0.2322, 0.5356)
Sr (0.0000, 0.5000, 0.0000)
Sr (0.5000, 0.0000, 0.0000)
S (0.5994, 0.5994, 0.8012)
S (0.4006, 0.4006, 0.1988)
Na (0.0000, 0.0000, 0.0000)

Results
Uncorrected formation energy in eV per atom: -0.447
Total magnetization in μB/atom: 0.000
E in eV/cell: -19.43

5.
VASP calculation (PBE) on a relaxed Y2VMoAs crystal.

Lattice parameters (Å, degrees): 5.1682 4.5370 5.1682 90.00 90.00 90.00
Element x y z (fractional)
Y (0.0000, 0.0000, 0.5000)
Y (0.5000, 0.0000, 0.0000)
Mo (0.5000, 0.5000, 0.5000)
As (0.0000, 0.5000, 0.0000)
V (0.0000, 0.0000, 0.0000)

Results
Total magnetization in μB/atom: 0.107
Energy of formation in eV/f.u.: 4.49
E in eV/cell: -33.04

6.
VASP calculation (PBE) on a relaxed Sm2AlNi12B3 crystal.

Lattice parameters (Å, degrees): 6.7429 6.7429 6.7429 64.53 64.53 64.53
Element x y z (fractional)
Sm (0.5980, 0.5980, 0.5980)
Sm (0.4020, 0.4020, 0.4020)
Al (0.0000, 0.0000, 0.0000)
Ni (0.2751, 0.2751, 0.8831)
Ni (0.8658, 0.8658, 0.4080)
Ni (0.4080, 0.8658, 0.8658)
Ni (0.8831, 0.2751, 0.2751)
Ni (0.8658, 0.4080, 0.8658)
Ni (0.2751, 0.8831, 0.2751)
Ni (0.7249, 0.7249, 0.1169)
Ni (0.1342, 0.1342, 0.5920)
Ni (0.5920, 0.1342, 0.1342)
Ni (0.1169, 0.7249, 0.7249)
Ni (0.1342, 0.5920, 0.1342)
Ni (0.7249, 0.1169, 0.7249)
B (0.5000, 0.0000, 0.0000)
B (0.0000, 0.5000, 0.0000)
B (0.0000, 0.0000, 0.5000)

Results
Total magnetization in μB/atom: 0.000
Energy of formation in eV/f.u.: -2.06
E in eV/cell: -104.65

7.
VASP calculation (PBE) on a relaxed Tb7Y6Tm16 crystal.

Lattice parameters (Å, degrees): 11.0297 11.0297 11.0297 60.00 60.00 60.00
Element x y z (fractional)
Tb (0.0000, 0.0000, 0.0000)
Tb (0.5000, 0.0000, 0.5000)
Tb (0.0000, 0.5000, 0.0000)
Tb (0.0000, 0.5000, 0.5000)
Tb (0.5000, 0.0000, 0.0000)
Tb (0.0000, 0.0000, 0.5000)
Tb (0.5000, 0.5000, 0.0000)
Y (0.2812, 0.7188, 0.2812)
Y (0.7188, 0.2812, 0.7188)
Y (0.7188, 0.2812, 0.2812)
Y (0.2812, 0.7188, 0.7188)
Y (0.7188, 0.7188, 0.2812)
Y (0.2812, 0.2812, 0.7188)
Tm (0.8770, 0.8770, 0.3690)
Tm (0.8770, 0.8770, 0.8770)
Tm (0.8770, 0.3690, 0.8770)
Tm (0.3690, 0.8770, 0.8770)
Tm (0.1230, 0.1230, 0.1230)
Tm (0.1230, 0.1230, 0.6310)
Tm (0.1230, 0.6310, 0.1230)
Tm (0.6310, 0.1230, 0.1230)
Tm (0.6541, 0.6541, 0.0377)
Tm (0.6541, 0.6541, 0.6541)
Tm (0.6541, 0.0377, 0.6541)
Tm (0.0377, 0.6541, 0.6541)
Tm (0.3459, 0.3459, 0.3459)
Tm (0.3459, 0.3459, 0.9623)
Tm (0.3459, 0.9623, 0.3459)
Tm (0.9623, 0.3459, 0.3459)

Results
Total magnetization in μB/atom: 0.268
Energy of formation in eV/f.u.: 7.10
E in eV/cell: -135.64

8.
VASP calculation (PBE) on a relaxed La8HoSc2 crystal.

Lattice parameters (Å, degrees): 5.1624 8.1509 9.5295 105.38 105.72 90.00
Element x y z (fractional)
La (0.6832, 0.9156, 0.3664)
La (0.4041, 0.5420, 0.8081)
La (0.1405, 0.1956, 0.2811)
La (0.9512, 0.2731, 0.9025)
La (0.8595, 0.8044, 0.7189)
La (0.5959, 0.4580, 0.1919)
La (0.3168, 0.0844, 0.6336)
La (0.0488, 0.7269, 0.0975)
Ho (0.5000, 0.0000, 0.0000)
Sc (0.2271, 0.6316, 0.4543)
Sc (0.7729, 0.3684, 0.5457)

Results
Total magnetization in μB/atom: 0.000
Energy of formation in eV/f.u.: 0.49
E in eV/cell: -56.17

9.
VASP calculation (PBE) on a relaxed Ho4AlZn2Pt crystal.

Lattice parameters (Å, degrees): 5.0030 5.0030 8.6721 73.23 73.23 60.00
Element x y z (fractional)
Ho (0.3796, 0.3796, 0.8613)
Ho (0.8714, 0.8714, 0.3859)
Ho (0.1286, 0.1286, 0.6141)
Ho (0.6204, 0.6204, 0.1387)
Al (0.0000, 0.0000, 0.0000)
Zn (0.7432, 0.7432, 0.7704)
Zn (0.2568, 0.2568, 0.2296)
Pt (0.5000, 0.5000, 0.5000)

Results
Total magnetization in μB/atom: 0.000
Energy of formation in eV/f.u.: -4.91
E in eV/cell: -35.56

10.
VASP calculation (PBE) on a relaxed GdO2 crystal.

Lattice parameters (Å, degrees): 3.7280 4.2342 6.2900 73.98 90.00 90.00
Element x y z (fractional)
Gd (0.2500, 0.6723, 0.1895)
Gd (0.7500, 0.3277, 0.8105)
O (0.2500, 0.2363, 0.0420)
O (0.7500, 0.7637, 0.9580)
O (0.2500, 0.3232, 0.5517)
O (0.7500, 0.6768, 0.4483)

Results
Uncorrected formation energy in eV per atom: -2.598
Total magnetization in μB/atom: 2.626
E in eV/cell: -63.58

11.
VASP calculation (PBE) on a relaxed TaCuW crystal.

Lattice parameters (Å, degrees): 6.8246 6.6962 2.7237 81.04 75.75 23.22
Element x y z (fractional)
Cu (0.0022, 0.0022, 0.9978)
Ta (0.3380, 0.3380, 0.6620)
W (0.6598, 0.6598, 0.3402)

Results
Total magnetization in μB/atom: 0.000
Energy of formation in eV/f.u.: 0.43
E in eV/cell: -28.47

12.
VASP calculation (PBE) on a relaxed Sc5In2OsAu2 crystal.

Lattice parameters (Å, degrees): 3.2676 11.5045 11.5045 90.00 90.00 90.00
Element x y z (fractional)
Sc (0.5000, 0.1849, 0.0540)
Sc (0.5000, 0.8151, 0.9460)
Sc (0.5000, 0.0540, 0.8151)
Sc (0.5000, 0.6849, 0.4460)
Sc (0.5000, 0.9460, 0.1849)
Sc (0.5000, 0.3151, 0.5540)
Sc (0.5000, 0.5540, 0.6849)
Sc (0.5000, 0.4460, 0.3151)
Sc (0.5000, 0.5000, 0.0000)
Sc (0.5000, 0.0000, 0.5000)
In (0.0000, 0.6763, 0.1763)
In (0.0000, 0.3237, 0.8237)
In (0.0000, 0.1763, 0.3237)
In (0.0000, 0.8237, 0.6763)
Os (0.0000, 0.0000, 0.0000)
Os (0.0000, 0.5000, 0.5000)
Au (0.0000, 0.1349, 0.6349)
Au (0.0000, 0.8651, 0.3651)
Au (0.0000, 0.6349, 0.8651)
Au (0.0000, 0.3651, 0.1349)

Results
Total magnetization in μB/atom: 0.000
Energy of formation in eV/f.u.: -5.13
E in eV/cell: -120.09

E of number 5 (Y2VMoAs)? -33.04 eV/cell

Please write out number 12 again, unchanged.
VASP calculation (PBE) on a relaxed Sc5In2OsAu2 crystal.

Lattice parameters (Å, degrees): 3.2676 11.5045 11.5045 90.00 90.00 90.00
Element x y z (fractional)
Sc (0.5000, 0.1849, 0.0540)
Sc (0.5000, 0.8151, 0.9460)
Sc (0.5000, 0.0540, 0.8151)
Sc (0.5000, 0.6849, 0.4460)
Sc (0.5000, 0.9460, 0.1849)
Sc (0.5000, 0.3151, 0.5540)
Sc (0.5000, 0.5540, 0.6849)
Sc (0.5000, 0.4460, 0.3151)
Sc (0.5000, 0.5000, 0.0000)
Sc (0.5000, 0.0000, 0.5000)
In (0.0000, 0.6763, 0.1763)
In (0.0000, 0.3237, 0.8237)
In (0.0000, 0.1763, 0.3237)
In (0.0000, 0.8237, 0.6763)
Os (0.0000, 0.0000, 0.0000)
Os (0.0000, 0.5000, 0.5000)
Au (0.0000, 0.1349, 0.6349)
Au (0.0000, 0.8651, 0.3651)
Au (0.0000, 0.6349, 0.8651)
Au (0.0000, 0.3651, 0.1349)

Results
Total magnetization in μB/atom: 0.000
Energy of formation in eV/f.u.: -5.13
E in eV/cell: -120.09

What is the formula in the tenth record? GdO2